CsVPbI6 | GGA-PBE | relaxed

Results
**VASP energy**: -29.649 eV per cell
**Magnetic moment**: 2.00 μB per formula unit

```
data_CsVPbI6
_chemical_formula_sum 'Cs1 V1 Pb1 I6'
_cell_length_a 7.9237
_cell_length_b 7.9237
_cell_length_c 8.4241
_cell_angle_alpha 90.00
_cell_angle_beta 90.00
_cell_angle_gamma 120.00
_symmetry_space_group_name_H-M 'P 3 1 2'
_symmetry_Int_Tables_number 149
_symmetry_space_group_name_Hall 'P 3 2'
loop_
_atom_site_label
_atom_site_type_symbol
_atom_site_fract_x
_atom_site_fract_y
_atom_site_fract_z
_atom_site_occupancy
Cs1 Cs 0.0000 0.0000 0.0000 1
V1 V 0.6667 0.3333 0.5000 1
Pb1 Pb 0.3333 0.6667 0.5000 1
I1 I 0.3888 0.0419 0.6952 1
```